A PBEsol-optimized structure of Lu5SbPd2, computed with SCAN.

V ... 368 Å³/cell
Space-group type ... I4/mcm (140)
N(E_F) ... 8.25 states/eV per cell
E_form (uncorrected) ... -7.1 eV/f.u.

```
Lu5SbPd2
1.0
7.4637 0.0000 0.0000
-3.7318 7.5918 0.0321
0.0000 3.6413 6.5151
Lu Sb Pd
10 2 4
Direct
0.5131 0.7143 0.9869
0.0131 0.7143 0.7987
0.7013 0.7143 0.4869
0.9869 0.2857 0.2013
0.2013 0.7143 0.2987
0.4869 0.2857 0.0131
0.7987 0.2857 0.7013
0.2987 0.2857 0.5131
0.0000 0.0000 0.0000
0.5000 0.0000 0.5000
0.7500 0.5000 0.2500
0.2500 0.5000 0.7500
0.3631 0.0000 0.8631
0.8631 0.0000 0.6369
0.6369 0.0000 0.1369
0.1369 0.0000 0.3631
```

---

A PBEsol-optimized structure of LuScPd2, computed with SCAN.

V ... 73 Å³/cell
Space-group type ... Fm-3m (225)
N(E_F) ... 2.13 states/eV per cell
ΔE_f ... -1.035 eV per atom

```
LuScPd2
1.0
4.7006 0.0000 0.0000
2.3503 4.0709 0.0000
2.3503 1.3570 3.8381
Sc Lu Pd
1 1 2
Direct
0.0000 0.0000 0.0000
0.5000 0.5000 0.5000
0.2500 0.2500 0.2500
0.7500 0.7500 0.7500
```

---

A PBEsol-optimized structure of Lu3Si4Pd4, computed with SCAN.

V ... 189 Å³/cell
Space-group type ... Immm (71)
N(E_F) ... 4.97 states/eV per cell
E_form (uncorrected) ... -10.8 eV/f.u.

```
Lu3Si4Pd4
1.0
-0.5025 -1.0803 3.4715
0.6117 -3.9521 -1.1413
12.0615 3.7721 0.9795
Si Lu Pd
4 3 4
Direct
0.1903 0.1903 0.3805
0.0471 0.5471 0.0943
0.9529 0.4529 0.9057
0.8097 0.8097 0.6195
0.6442 0.6442 0.2885
0.3558 0.3558 0.7115
0.5000 0.0000 0.0000
0.2458 0.7458 0.4915
0.9056 0.9056 0.8112
0.0944 0.0944 0.1888
0.7542 0.2542 0.5085
```

---

A PBEsol-optimized structure of LuSiPd2, computed with SCAN.

V ... 264 Å³/cell
Space-group type ... Pnma (62)
N(E_F) ... 4.92 states/eV per cell
E_form (uncorrected) ... -4.3 eV/f.u.

```
LuSiPd2
1.0
-2.0677 4.6362 1.7949
0.9331 -2.1026 6.5058
6.4804 2.8886 0.0041
Si Lu Pd
4 4 8
Direct
0.6384 0.2500 0.1200
0.3616 0.7500 0.8800
0.1384 0.7500 0.3800
0.8616 0.2500 0.6200
0.8609 0.7500 0.0260
0.6391 0.7500 0.5260
0.3609 0.2500 0.4740
0.1391 0.2500 0.9740
0.9068 0.4486 0.3197
0.9068 0.0514 0.3197
0.5932 0.4486 0.8197
0.0932 0.5514 0.6803
0.4068 0.5514 0.1803
0.0932 0.9486 0.6803
0.5932 0.0514 0.8197
0.4068 0.9486 0.1803
```

---

A PBEsol-optimized structure of LuSnPd2, computed with SCAN.

V ... 72 Å³/cell
Space-group type ... Fm-3m (225)
N(E_F) ... 1.60 states/eV per cell
ΔE_f ... -0.953 eV per atom

```
LuSnPd2
1.0
-4.1099 -0.6151 2.1267
-3.4123 -2.3501 -2.1507
-1.2308 -4.2392 1.5188
Lu Sn Pd
1 1 2
Direct
0.5000 0.5000 0.5000
0.0000 0.0000 0.0000
0.7500 0.7500 0.7500
0.2500 0.2500 0.2500
```

---

A PBEsol-optimized structure of Lu7Te2Pd2, computed with SCAN.

V ... 270 Å³/cell
Space-group type ... Imm2 (44)
N(E_F) ... 7.71 states/eV per cell
E_form (uncorrected) ... -10.3 eV/f.u.

```
Lu7Te2Pd2
1.0
-1.7105 3.0451 1.5624
-8.0546 -3.3996 2.4928
-1.0737 -2.6303 8.6358
Lu Te Pd
7 2 2
Direct
0.8171 0.8100 0.5557
0.1829 0.4443 0.1900
0.5000 0.4998 0.5002
0.3689 0.0483 0.2138
0.6311 0.7862 0.9517
0.1441 0.1226 0.5893
0.8559 0.4107 0.8774
0.5000 0.1615 0.8385
0.0000 0.7666 0.2334
0.2640 0.6676 0.8043
0.7360 0.1957 0.3324
```

---

A PBEsol-optimized structure of TmLuPd2, computed with SCAN.

V ... 78 Å³/cell
Space-group type ... Fm-3m (225)
N(E_F) ... 2.02 states/eV per cell
ΔE_f ... -1.056 eV per atom

```
TmLuPd2
1.0
-3.4041 -1.7915 -2.8673
-2.3657 -3.9737 1.2775
-4.6120 0.2658 1.2954
Lu Tm Pd
1 1 2
Direct
0.5000 0.5000 0.5000
0.0000 0.0000 0.0000
0.2500 0.2500 0.2500
0.7500 0.7500 0.7500
```

---

A PBEsol-optimized structure of LuZnPd2, computed with SCAN.

V ... 66 Å³/cell
Space-group type ... Fm-3m (225)
N(E_F) ... 1.84 states/eV per cell
ΔE_f ... -0.840 eV per atom

```
LuZnPd2
1.0
4.5276 0.0000 0.0000
2.2638 3.9210 0.0000
2.2638 1.3070 3.6968
Zn Lu Pd
1 1 2
Direct
0.0000 0.0000 0.0000
0.5000 0.5000 0.5000
0.2500 0.2500 0.2500
0.7500 0.7500 0.7500
```